# MgSi2Ir, relaxed, DFT PBE-GGA
data_MgSi2Ir
_chemical_formula_sum 'Mg1 Si2 Ir1'
_space_group_name_H-M_alt 'P 1'
_space_group_IT_number 1
_cell_length_a 4.268
_cell_length_b 4.268
_cell_length_c 4.957
_cell_angle_alpha 100.13
_cell_angle_beta 100.13
_cell_angle_gamma 48.28
loop_
_space_group_symop_operation_xyz
'x,y,z'
loop_
_atom_site_label
_atom_site_type_symbol
_atom_site_fract_x
_atom_site_fract_y
_atom_site_fract_z
Mg1 Mg 0.000 0.000 0.000
Si1 Si 0.226 0.226 0.675
Si2 Si 0.774 0.774 0.325
Ir1 Ir 0.500 0.500 0.500
# crystal system: monoclinic
# D(E_F): 0.9 states/eV/cell
# raw formation energy: -0.263 eV/atom
# electronic total energy: -22.4 eV/cell

---

# LaBe3Pt, relaxed, DFT PBE-GGA
data_LaBe3Pt
_chemical_formula_sum 'La2 Be6 Pt2'
_space_group_name_H-M_alt 'P 1'
_space_group_IT_number 1
_cell_length_a 11.205
_cell_length_b 11.205
_cell_length_c 11.205
_cell_angle_alpha 159.51
_cell_angle_beta 159.51
_cell_angle_gamma 29.14
loop_
_space_group_symop_operation_xyz
'x,y,z'
loop_
_atom_site_label
_atom_site_type_symbol
_atom_site_fract_x
_atom_site_fract_y
_atom_site_fract_z
La1 La 0.000 0.000 0.000
La2 La 0.750 0.250 0.500
Be1 Be 0.374 0.123 0.251
Be2 Be 0.403 0.403 0.000
Be3 Be 0.597 0.597 0.000
Be4 Be 0.872 0.123 0.749
Be5 Be 0.877 0.128 0.251
Be6 Be 0.877 0.626 0.749
Pt1 Pt 0.146 0.646 0.500
Pt2 Pt 0.354 0.854 0.500
# formation energy from the elements: -21 kJ per mole of atoms
# crystal system: tetragonal
# D(E_F): 6.9 states/eV/cell
# electronic total energy: -46.4 eV/cell
# energy relative to the lowest polymorph listed for this composition: 0.278 eV/atom

---

# CdGa2Fe2, relaxed, DFT PBE-GGA
data_CdGa2Fe2
_chemical_formula_sum 'Cd2 Ga4 Fe4'
_space_group_name_H-M_alt 'P 1'
_space_group_IT_number 1
_cell_length_a 7.158
_cell_length_b 7.158
_cell_length_c 2.896
_cell_angle_alpha 90.00
_cell_angle_beta 90.00
_cell_angle_gamma 90.00
loop_
_space_group_symop_operation_xyz
'x,y,z'
loop_
_atom_site_label
_atom_site_type_symbol
_atom_site_fract_x
_atom_site_fract_y
_atom_site_fract_z
Cd1 Cd 0.000 0.000 0.000
Cd2 Cd 0.500 0.500 0.000
Ga1 Ga 0.174 0.326 0.500
Ga2 Ga 0.326 0.826 0.500
Ga3 Ga 0.674 0.174 0.500
Ga4 Ga 0.826 0.674 0.500
Fe1 Fe 0.118 0.618 0.000
Fe2 Fe 0.382 0.118 0.000
Fe3 Fe 0.618 0.882 0.000
Fe4 Fe 0.882 0.382 0.000
# formation energy from the elements: 6 kJ per mole of atoms
# crystal system: tetragonal
# D(E_F): 6.5 states/eV/cell
# electronic total energy: -47.1 eV/cell
# energy relative to the lowest polymorph listed for this composition: 0.000 eV/atom

---

# Fe5Ir, relaxed, DFT PBE-GGA
data_Fe5Ir
_chemical_formula_sum 'Fe5 Ir1'
_space_group_name_H-M_alt 'P 1'
_space_group_IT_number 1
_cell_length_a 4.699
_cell_length_b 4.699
_cell_length_c 4.699
_cell_angle_alpha 60.00
_cell_angle_beta 60.00
_cell_angle_gamma 60.00
loop_
_space_group_symop_operation_xyz
'x,y,z'
loop_
_atom_site_label
_atom_site_type_symbol
_atom_site_fract_x
_atom_site_fract_y
_atom_site_fract_z
Fe1 Fe 0.000 0.000 0.000
Fe2 Fe 0.375 0.375 0.375
Fe3 Fe 0.375 0.375 0.876
Fe4 Fe 0.375 0.876 0.375
Fe5 Fe 0.876 0.375 0.375
Ir1 Ir 0.750 0.750 0.750
# formation energy from the elements: 11 kJ per mole of atoms
# crystal system: cubic
# D(E_F): 10.6 states/eV/cell
# electronic total energy: -50.5 eV/cell
# energy relative to the lowest polymorph listed for this composition: 0.145 eV/atom